# TlV4Pb3O12

A geometry-optimized TlV4Pb3O12 structure (GGA+U, Alexandria via LeMat-Bulk).

CIF file:
```
data_TlV4Pb3O12
_chemical_formula_sum 'Tl3 V12 Pb9 O36'
_cell_length_a 13.3322
_cell_length_b 13.3322
_cell_length_c 6.7721
_cell_angle_alpha 90.00
_cell_angle_beta 90.00
_cell_angle_gamma 120.00
_space_group_name_H-M_alt 'R 3 2'
_space_group_IT_number 155
_space_group_name_Hall 'R 3 2"'
loop_
_atom_site_label
_atom_site_type_symbol
_atom_site_fract_x
_atom_site_fract_y
_atom_site_fract_z
Tl1 Tl 0.0000 0.0000 0.0000
V1 V 0.0000 0.0000 0.5000
V2 V 0.0000 0.4207 0.5000
Pb1 Pb 0.0000 0.5543 0.0000
O1 O 0.0000 0.5485 0.5000
O2 O 0.0000 0.8702 0.5000
O3 O 0.0563 0.4536 0.8034
```

Summary:
VASP energy = -6.529 eV per atom
Total magnetization = 3.0 μB/f.u.
DOS at the Fermi energy = 15.5 states/eV per cell